<one>
Computed, not measured: an optimized crystal structure of YGaCuTc at the PBE level of DFT.

Lattice parameters (Å, degrees): 4.5874 4.5874 4.5874 60.00 60.00 60.00
Closest atoms and distances in Å follow each position.
Sites, in units of the cell vectors:
Cu 0.7500 0.7500 0.7500  4 Ga 2.81, 4 Y 2.81
Ga 0.0000 0.0000 0.0000  4 Tc 2.81, 4 Cu 2.81
Tc 0.2500 0.2500 0.2500  4 Y 2.81, 4 Ga 2.81
Y 0.5000 0.5000 0.5000  4 Tc 2.81, 4 Cu 2.81

Summary:
SG: No. 216
crystal system: cubic

<two>
Computed, not measured: an optimized crystal structure of YGaCuTc at the PBE level of DFT.

Lattice parameters (Å, degrees): 4.6391 4.6391 4.6391 60.00 60.00 60.00
Closest atoms and distances in Å follow each position.
Sites, in units of the cell vectors:
Cu 0.7500 0.7500 0.7500  4 Tc 2.84, 4 Ga 2.84
Ga 0.0000 0.0000 0.0000  4 Y 2.84, 4 Cu 2.84
Tc 0.5000 0.5000 0.5000  4 Y 2.84, 4 Cu 2.84
Y 0.2500 0.2500 0.2500  4 Tc 2.84, 4 Ga 2.84

Summary:
SG: No. 216
crystal system: cubic

It is <two> that is the least stable of them.

<one>
Computed, not measured: an optimized crystal structure of ZnGaCuTc at the PBE level of DFT.

Lattice parameters (Å, degrees): 4.2773 4.2773 4.2773 60.00 60.00 60.00
Closest atoms and distances in Å follow each position.
Sites, in units of the cell vectors:
Cu 0.2500 0.2500 0.2500  4 Tc 2.62, 4 Ga 2.62
Ga 0.0000 0.0000 0.0000  4 Zn 2.62, 4 Cu 2.62
Tc 0.5000 0.5000 0.5000  4 Cu 2.62, 4 Zn 2.62
Zn 0.7500 0.7500 0.7500  4 Tc 2.62, 4 Ga 2.62

Summary:
SG: No. 216
crystal system: cubic

<two>
Computed, not measured: an optimized crystal structure of ZnGaCuTc at the PBE level of DFT.

Lattice parameters (Å, degrees): 4.2654 4.2654 4.2654 60.00 60.00 60.00
Closest atoms and distances in Å follow each position.
Sites, in units of the cell vectors:
Cu 0.7500 0.7500 0.7500  4 Zn 2.61, 4 Ga 2.61
Ga 0.0000 0.0000 0.0000  4 Tc 2.61, 4 Cu 2.61
Tc 0.2500 0.2500 0.2500  4 Zn 2.61, 4 Ga 2.61
Zn 0.5000 0.5000 0.5000  4 Cu 2.61, 4 Tc 2.61

Summary:
SG: No. 216
crystal system: cubic

It is <one> that is the least stable of them.

<one>
Computed, not measured: an optimized crystal structure of NdGd2Cu4Sn2Ge2 at the PBE level of DFT.

Lattice parameters (Å, degrees): 8.3531 8.3531 8.3531 149.50 132.11 57.85
Closest atoms and distances in Å follow each position.
Sites, in units of the cell vectors:
Cu 0.6520 0.3405 0.3116  1 Ge 2.48, 1 Cu 2.56, 3 Sn 2.69-2.76
Cu 0.9711 0.6595 0.3116  1 Ge 2.48, 1 Cu 2.56, 3 Sn 2.69-2.76
Cu 0.0289 0.3405 0.6884  1 Ge 2.48, 1 Cu 2.56, 3 Sn 2.69-2.76
Cu 0.3480 0.6595 0.6884  1 Ge 2.48, 1 Cu 2.56, 3 Sn 2.69-2.76
Gd 0.6259 0.1259 0.5000  6 Cu 3.09-3.39, 4 Ge 3.14, 2 Sn 3.16
Gd 0.3741 0.8741 0.5000  6 Cu 3.09-3.39, 4 Ge 3.14, 2 Sn 3.16
Ge 0.6877 0.5000 0.1877  2 Cu 2.48, 1 Ge 2.55
Ge 0.3123 0.5000 0.8123  2 Cu 2.48, 1 Ge 2.55
Nd 0.0000 0.0000 0.0000  4 Ge 3.05, 2 Sn 3.20
Sn 0.2191 0.2191 0.0000  6 Cu 2.69-2.76
Sn 0.7809 0.7809 0.0000  6 Cu 2.69-2.76

Summary:
SG: No. 71
crystal system: orthorhombic

<two>
Computed, not measured: an optimized crystal structure of NdGd2Cu4Sn2Ge2 at the PBE level of DFT.

Lattice parameters (Å, degrees): 8.3247 8.3247 8.3247 149.91 130.06 59.41
Closest atoms and distances in Å follow each position.
Sites, in units of the cell vectors:
Cu 0.6413 0.3258 0.3155  1 Cu 2.59, 3 Ge 2.60-2.71, 1 Sn 2.65
Cu 0.9897 0.6742 0.3155  1 Cu 2.59, 3 Ge 2.60-2.71, 1 Sn 2.65
Cu 0.3587 0.6742 0.6845  1 Cu 2.59, 3 Ge 2.60-2.71, 1 Sn 2.65
Cu 0.0103 0.3258 0.6845  1 Cu 2.59, 3 Ge 2.60-2.71, 1 Sn 2.65
Gd 0.6369 0.1369 0.5000  2 Ge 3.01, 6 Cu 3.02-3.14, 4 Sn 3.24
Gd 0.3631 0.8631 0.5000  2 Ge 3.01, 6 Cu 3.02-3.14, 4 Sn 3.24
Ge 0.2178 0.2178 0.0000  6 Cu 2.60-2.71
Ge 0.7822 0.7822 0.0000  6 Cu 2.60-2.71
Nd 0.0000 0.0000 0.0000  4 Sn 3.03, 2 Ge 3.15
Sn 0.6972 0.5000 0.1972  2 Cu 2.65, 1 Sn 2.77
Sn 0.3028 0.5000 0.8028  2 Cu 2.65, 1 Sn 2.77

Summary:
SG: No. 71
crystal system: orthorhombic

It is <two> that is the least stable of them.

<one>
Computed, not measured: an optimized crystal structure of GdCuPbS3 at the PBE level of DFT.

Lattice parameters (Å, degrees): 10.9748 4.0859 11.3612 90.00 90.00 90.00
Closest atoms and distances in Å follow each position.
Sites, in units of the cell vectors:
Cu 0.7547 0.0000 0.2058  4 S 2.32-2.36
Cu 0.2547 0.0000 0.2942  4 S 2.32-2.36
Cu 0.7453 0.5000 0.7058  4 S 2.32-2.36
Cu 0.2453 0.5000 0.7942  4 S 2.32-2.36
Gd 0.4856 0.5000 0.1809  7 S 2.77-2.98
Gd 0.9856 0.5000 0.3191  7 S 2.77-2.98
Gd 0.0144 0.0000 0.6809  7 S 2.77-2.98
Gd 0.5144 0.0000 0.8191  7 S 2.77-2.98
Pb 0.1803 0.0000 0.0055  7 S 2.93-3.22, 2 Cu 3.23
Pb 0.6803 0.0000 0.4945  7 S 2.93-3.22, 2 Cu 3.23
Pb 0.3197 0.5000 0.5055  7 S 2.93-3.22, 2 Cu 3.23
Pb 0.8197 0.5000 0.9945  7 S 2.93-3.22, 2 Cu 3.23
S 0.6033 0.0000 0.0610  1 Cu 2.34
S 0.9570 0.0000 0.1469  1 Cu 2.32
S 0.2249 0.5000 0.1947  2 Cu 2.36
S 0.7249 0.5000 0.3053  2 Cu 2.36
S 0.4570 0.0000 0.3531  1 Cu 2.32
S 0.1033 0.0000 0.4390  1 Cu 2.34
S 0.8967 0.5000 0.5610  1 Cu 2.34
S 0.5430 0.5000 0.6469  1 Cu 2.32
S 0.2751 0.0000 0.6947  2 Cu 2.36
S 0.7751 0.0000 0.8053  2 Cu 2.36
S 0.0430 0.5000 0.8531  1 Cu 2.32
S 0.3967 0.5000 0.9390  1 Cu 2.34

Summary:
SG: No. 62
crystal system: orthorhombic

<two>
Computed, not measured: an optimized crystal structure of GdCuPbS3 at the PBE level of DFT.

Lattice parameters (Å, degrees): 6.7896 6.7896 10.3221 90.00 90.00 33.62
Closest atoms and distances in Å follow each position.
Sites, in units of the cell vectors:
Cu 0.4683 0.4683 0.2500  4 S 2.33-2.41
Cu 0.5317 0.5317 0.7500  4 S 2.33-2.41
Gd 0.0000 0.0000 0.0000  6 S 2.76
Gd 0.0000 0.0000 0.5000  6 S 2.76
Pb 0.7533 0.7533 0.2500  6 S 3.03-3.05
Pb 0.2467 0.2467 0.7500  6 S 3.03-3.05
S 0.3608 0.3608 0.0695  1 Cu 2.33
S 0.0755 0.0755 0.2500  2 Cu 2.41
S 0.3608 0.3608 0.4305  1 Cu 2.33
S 0.6392 0.6392 0.5695  1 Cu 2.33
S 0.9245 0.9245 0.7500  2 Cu 2.41
S 0.6392 0.6392 0.9305  1 Cu 2.33

Summary:
SG: No. 63
crystal system: orthorhombic

<three>
Computed, not measured: an optimized crystal structure of GdCuPbS3 at the PBE level of DFT.

Lattice parameters (Å, degrees): 7.6156 3.9309 9.5341 90.00 105.22 90.00
Closest atoms and distances in Å follow each position.
Sites, in units of the cell vectors:
Cu 0.9218 0.7500 0.4105  4 S 2.34-2.44
Cu 0.0782 0.2500 0.5895  4 S 2.34-2.44
Gd 0.6984 0.2500 0.1569  6 S 2.73-2.79
Gd 0.3016 0.7500 0.8431  6 S 2.73-2.79
Pb 0.2496 0.2500 0.3012  6 S 3.01-3.06, 1 Cu 3.34
Pb 0.7504 0.7500 0.6988  6 S 3.01-3.06, 1 Cu 3.34
S 0.4363 0.7500 0.1446  3 Gd 2.78-2.79, 2 Pb 3.04
S 0.9524 0.7500 0.1722  1 Cu 2.34
S 0.7573 0.2500 0.4549  3 Cu 2.43-2.44
S 0.2427 0.7500 0.5451  3 Cu 2.43-2.44
S 0.0476 0.2500 0.8278  1 Cu 2.34
S 0.5637 0.2500 0.8554  3 Gd 2.78-2.79, 2 Pb 3.04

Summary:
SG: No. 11
crystal system: monoclinic

It is <three> that is the least stable of them.